Density functional theory data (PBE) for a geometry-optimized RbInSn structure.

Cell lengths 5.2995, 8.5280, 9.1092 Å; angles 90.00, 90.00, 90.00 degrees
Space group Ima2 (No. 46)
Unique sites:
1 Rb 0.2500 0.1699 0.0000 x4
2 In 0.2500 0.5873 0.1646 x4
3 Sn 0.2500 0.5976 0.8300 x4

Its total magnetic moment is 0.00 μB per cell. The value obtained for the energy relative to the elements is -194 meV per atom.